# 1
! SrCrSe, optimized geometry, DFT PBE; values from VASP
! SG   P-6m2
! E_tot   -5.44 eV per atom
! Excess energy over the best structure of this formula in the dataset   0.000 eV/atom
! ΔE_f (raw)   -512 meV per atom
&SYSTEM
  ibrav = 0, nat = 3, ntyp = 3
/
ATOMIC_SPECIES
Sr 87.62 Sr.upf
Cr 52.00 Cr.upf
Se 78.96 Se.upf
ATOMIC_POSITIONS crystal
Sr 0.3333 0.6667 0.6667
Cr 0.0000 0.0000 0.1667
Se 0.6667 0.3333 0.1666
CELL_PARAMETERS angstrom
-1.5119 -2.1359 -3.5952
1.0751 -2.2889 3.6576
-4.2091 0.4369 1.5105


# 2
! Sr2CrSe, optimized geometry, DFT PBE; values from VASP
! SG   Amm2
! E_tot   -4.58 eV per atom
! ΔE_f (raw)   -460 meV per atom
&SYSTEM
  ibrav = 0, nat = 4, ntyp = 3
/
ATOMIC_SPECIES
Sr 87.62 Sr.upf
Se 78.96 Se.upf
Cr 52.00 Cr.upf
ATOMIC_POSITIONS crystal
Sr 0.7335 0.7335 0.6248
Sr 0.0184 0.0184 0.1251
Se 0.3060 0.3060 0.1250
Cr 0.4421 0.4421 0.6251
CELL_PARAMETERS angstrom
6.5199 0.0168 0.0000
4.9573 4.2349 0.0000
0.0000 0.0000 4.4452


# 3
! Sr2CrSe, optimized geometry, DFT PBE; values from VASP
! SG   Cmm2
! E_tot   -4.31 eV per atom
! ΔE_f (raw)   -192 meV per atom
&SYSTEM
  ibrav = 0, nat = 4, ntyp = 3
/
ATOMIC_SPECIES
Se 78.96 Se.upf
Cr 52.00 Cr.upf
Sr 87.62 Sr.upf
ATOMIC_POSITIONS crystal
Se 0.5000 0.5000 0.7082
Cr 0.0000 0.0000 0.5504
Sr 0.5000 0.5000 0.3256
Sr 0.0000 0.0000 0.9157
CELL_PARAMETERS angstrom
-1.2290 -2.2532 2.9574
3.1137 -2.3221 -0.4961
4.4897 4.8345 5.5491